Record 1
CsGeI2O8 PBE optimized geometry; raw formation energy = -65.3 kJ/mol of atoms
1.0
4.6784 -3.2101 0.0000
4.6784 3.2101 0.0000
-4.4782 0.0000 7.0777
Cs Ge I O
1 1 2 8
Direct
0.0000 0.0000 0.0000
0.5000 0.5000 0.5000
0.1991 0.1991 0.6488
0.8009 0.8009 0.3512
0.0627 0.0627 0.3890
0.1343 0.5198 0.3347
0.4136 0.4136 0.6777
0.4802 0.8657 0.6653
0.5198 0.1343 0.3347
0.5864 0.5864 0.3223
0.8657 0.4802 0.6653
0.9373 0.9373 0.6110

Record 2
Cs2BaTcO4 PBE optimized geometry; raw formation energy = -156.9 kJ/mol of atoms
1.0
-3.3395 3.3395 4.1275
3.3395 -3.3395 4.1275
3.3395 3.3395 -4.1275
Cs Ba Tc O
2 1 1 4
Direct
0.0000 0.0000 0.0000
0.7500 0.2500 0.5000
0.5000 0.5000 0.0000
0.2500 0.7500 0.5000
0.1540 0.0359 0.5726
0.4185 0.8460 0.8818
0.4633 0.5815 0.4274
0.9641 0.5367 0.1182

Record 3
Er2MnOs3 PBE optimized geometry; formation enthalpy at 0 K = -0.321 eV/atom
1.0
5.3205 0.0000 0.0000
-2.6602 4.6077 0.0000
0.0000 0.0000 8.5909
Er Mn Os
4 2 6
Direct
0.3333 0.6667 0.0668
0.3333 0.6667 0.4332
0.6667 0.3333 0.5668
0.6667 0.3333 0.9332
0.0000 0.0000 0.0000
0.0000 0.0000 0.5000
0.1696 0.3392 0.7500
0.1696 0.8304 0.7500
0.3392 0.1696 0.2500
0.6608 0.8304 0.7500
0.8304 0.1696 0.2500
0.8304 0.6608 0.2500

Record 4
Mn2CuRe PBE optimized geometry; formation enthalpy at 0 K = 0.172 eV/atom; offset from the most stable computed form = 0.040 eV per atom
1.0
2.9263 0.0000 0.0000
0.0000 2.9263 0.0000
0.0000 0.0000 6.1091
Mn Cu Re
2 1 1
Direct
0.0000 0.0000 0.2432
0.0000 0.0000 0.7568
0.5000 0.5000 0.0000
0.5000 0.5000 0.5000

Record 5
CaLaHg3 PBE optimized geometry; formation enthalpy at 0 K = 0.173 eV/atom; offset from the most stable computed form = 0.660 eV per atom
1.0
5.9025 0.0000 0.0000
0.0000 5.9025 0.0000
0.0000 0.0000 5.9025
Ca La Hg
1 1 3
Direct
0.0000 0.0000 0.0000
0.5000 0.5000 0.5000
0.0000 0.5000 0.5000
0.5000 0.0000 0.5000
0.5000 0.5000 0.0000

Record 6
BeCu3Au4 PBE optimized geometry; formation enthalpy at 0 K = -0.075 eV/atom
1.0
2.9344 0.0000 0.0000
0.0000 2.9344 0.0000
0.0000 0.0000 13.5384
Be Cu Au
1 3 4
Direct
0.0000 0.0000 0.0000
0.0000 0.0000 0.2417
0.0000 0.0000 0.5000
0.0000 0.0000 0.7583
0.5000 0.5000 0.1080
0.5000 0.5000 0.3710
0.5000 0.5000 0.6290
0.5000 0.5000 0.8920

Number 1: mass density 4.588 g cm⁻³. Number 2: mass density 5.097 g cm⁻³. Number 3: mass density 15.141 g cm⁻³. Number 4: mass density 11.416 g cm⁻³. Number 5: mass density 6.304 g cm⁻³. Number 6: mass density 14.067 g cm⁻³.